VASP calculation (PBE) on a relaxed Pm2Ho2O5 crystal.

Unit cell a=10.097 b=3.874 c=3.874 alpha=90.00 beta=90.00 gamma=90.00
Site moments in Bohr magnetons follow the coordinates.
Element x y z (fractional)
O: 0.135 0.500 0.000  0.01
O: 0.135 0.000 0.500  0.01
O: 0.500 0.500 0.500  0.02
O: 0.865 0.000 0.500  0.01
O: 0.865 0.500 0.000  0.01
Pm: 0.240 0.500 0.500  0.05
Ho: 0.000 0.000 0.000  0.01
Pm: 0.760 0.500 0.500  0.05
Ho: 0.500 0.000 0.000  0.56

Summary:
Symmetry: No. 123
Polymorph energy (0 for the lowest one) in meV per atom: 0


VASP calculation (PBE) on a relaxed MoC crystal.

Unit cell a=3.585 b=3.585 c=4.337 alpha=90.00 beta=90.00 gamma=120.00
Element x y z (fractional)
C: 0.667 0.333 0.938
Mo: 0.333 0.667 0.937
C: 0.333 0.667 0.438
Mo: 0.667 0.333 0.437

Summary:
Symmetry: No. 186
Polymorph energy (0 for the lowest one) in meV per atom: 178


VASP calculation (PBE) on a relaxed KTmAlS3 crystal.

Unit cell a=7.402 b=7.402 c=10.440 alpha=90.00 beta=90.00 gamma=148.95
Element x y z (fractional)
Al: 0.534 0.466 0.750
S: 0.374 0.626 0.073
S: 0.626 0.374 0.573
S: 0.374 0.626 0.427
K: 0.738 0.262 0.250
K: 0.262 0.738 0.750
Tm: 0.000 0.000 0.500
S: 0.626 0.374 0.927
Tm: 0.000 0.000 0.000
S: 0.055 0.945 0.250
Al: 0.466 0.534 0.250
S: 0.945 0.055 0.750

Summary:
Symmetry: No. 63
Polymorph energy (0 for the lowest one) in meV per atom: 0


Number 1: DFT total energy -68.5 eV/f.u.. Number 2: DFT total energy -19.9 eV/f.u.. Number 3: DFT total energy -30.0 eV/f.u..